VASP calculation (meta-GGA SCAN) on MgTe2NCl at its PBEsol-relaxed geometry.

Lattice parameters (Å, degrees): 3.829 5.520 5.520 90.00 90.00 90.00
Site moments in Bohr magnetons follow the coordinates.
Sites, in units of the cell vectors:
N (0.500, 0.000, 0.000)  1.09
Mg (0.000, 0.000, 0.000)  -0.01
Te (0.000, 0.000, 0.500)  0.00
Te (0.000, 0.500, 0.000)  0.00
Cl (0.500, 0.500, 0.500)  -0.04

Summary:
The energy relative to the elements, uncorrected comes out at 0.639 eV/atom.